! GGA-PBE Al2CdW, relaxed; values from VASP
! Space group   P4/mmm
! Energy   -20.46 eV/f.u.
! Calculated formation energy   21.5 kJ/mol of atoms
&SYSTEM
  ibrav = 0, nat = 4, ntyp = 3
/
ATOMIC_SPECIES
Al 26.98 Al.upf
W 183.84 W.upf
Cd 112.41 Cd.upf
CELL_PARAMETERS angstrom
4.8686 0.0000 0.0000
0.0000 4.8686 0.0000
0.0000 0.0000 2.8513
ATOMIC_POSITIONS angstrom
Al 0.0000 0.0000 0.0000
Al 2.4343 2.4343 0.0000
W 0.0000 2.4343 1.4257
Cd 2.4343 0.0000 1.4257